Compound: Ac3Nd2Y3
Source: Alexandria via LeMat-Bulk
Functional: PBE
Structure: optimized geometry

Output
raw total energy = -4.97 eV per atom
formation energy = 0.1861 eV/atom
size of the total moment = 0.000 μB/atom

Cell lengths 10.2161, 10.2161, 6.8079 Å; angles 90.00, 90.00, 120.00 degrees
Space group P6_3/mcm (No. 193)
One atom of each set of equivalent atoms:
Ac  0.0000  0.2318  0.2500
Nd  0.3333  0.6667  0.0000
Y  0.0000  0.4132  0.7500